Model i:
DFT (PBE) results for an optimized crystal structure of Tl3InSe3.

Cell lengths 7.362, 7.362, 9.702 Å; angles 95.54, 95.54, 118.66 degrees
Positions (direct):
Se1 0.475 0.140 0.283
Se2 0.140 0.475 0.283
Se3 0.209 0.209 0.902
Se4 0.525 0.860 0.717
Se5 0.860 0.525 0.717
Se6 0.791 0.791 0.098
Tl1 0.826 0.174 0.500
Tl2 0.713 0.287 0.000
Tl3 0.384 0.384 0.632
Tl4 0.287 0.713 0.000
Tl5 0.174 0.826 0.500
Tl6 0.616 0.616 0.368
In1 0.148 0.148 0.166
In2 0.852 0.852 0.834

M_tot: 0.00 μB/atom



Model ii:
DFT (PBE) results for an optimized crystal structure of Tl3InSe3.

Cell lengths 7.500, 9.437, 13.209 Å; angles 99.81, 90.00, 90.00 degrees
Positions (direct):
In1 0.926 0.178 0.539
In2 0.426 0.822 0.961
In3 0.074 0.822 0.461
In4 0.574 0.178 0.039
Tl1 0.223 0.694 0.718
Tl2 0.246 0.418 0.913
Tl3 0.622 0.902 0.373
Tl4 0.878 0.902 0.873
Tl5 0.754 0.582 0.087
Tl6 0.254 0.418 0.413
Tl7 0.378 0.098 0.627
Tl8 0.723 0.306 0.782
Tl9 0.277 0.694 0.218
Tl10 0.122 0.098 0.127
Tl11 0.777 0.306 0.282
Tl12 0.746 0.582 0.587
Se1 0.383 0.730 0.514
Se2 0.883 0.270 0.986
Se3 0.117 0.730 0.014
Se4 0.133 0.062 0.384
Se5 0.089 0.375 0.669
Se6 0.867 0.938 0.616
Se7 0.617 0.270 0.486
Se8 0.367 0.062 0.884
Se9 0.911 0.625 0.331
Se10 0.633 0.938 0.116
Se11 0.589 0.625 0.831
Se12 0.411 0.375 0.169

M_tot: 0.00 μB/atom



Tell me which of them is the least stable. Sure, it is model i.



Model i:
DFT (PBE) results for an optimized crystal structure of TmInSe3.

Cell lengths 4.158, 6.803, 12.031 Å; angles 106.42, 90.00, 90.00 degrees
Positions (direct):
Tm1 0.750 0.402 0.350
Tm2 0.250 0.051 0.650
In1 0.250 0.788 0.252
In2 0.750 0.535 0.748
Se1 0.750 0.567 0.155
Se2 0.750 0.921 0.768
Se3 0.250 0.153 0.232
Se4 0.250 0.692 0.455
Se5 0.250 0.412 0.845
Se6 0.750 0.237 0.545

M_tot: 0.00 μB/atom



Model ii:
DFT (PBE) results for an optimized crystal structure of TmInSe3.

Cell lengths 4.136, 6.897, 12.507 Å; angles 115.62, 90.00, 90.00 degrees
Positions (direct):
In1 0.750 0.796 0.269
In2 0.250 0.204 0.731
Se1 0.250 0.566 0.722
Se2 0.750 0.823 0.058
Se3 0.250 0.048 0.362
Se4 0.250 0.177 0.942
Se5 0.750 0.952 0.638
Se6 0.750 0.434 0.278
Tm1 0.750 0.855 0.841
Tm2 0.250 0.145 0.159

M_tot: 0.00 μB/atom



Tell me which of them is the least stable. Sure, it is model ii.



Model i:
DFT (PBE) results for an optimized crystal structure of Tm2InSe.

Cell lengths 3.828, 3.828, 8.346 Å; angles 76.74, 76.74, 60.00 degrees
Positions (direct):
Tm1 0.739 0.739 0.782
Tm2 0.261 0.261 0.218
Se1 0.000 0.000 0.000
In1 0.500 0.500 0.500

M_tot: 0.00 μB/atom



Model ii:
DFT (PBE) results for an optimized crystal structure of Tm2InSe.

Cell lengths 5.987, 5.992, 11.721 Å; angles 98.87, 90.00, 90.00 degrees
Positions (direct):
Tm1 0.750 0.556 0.613
Tm2 0.250 0.999 0.629
Tm3 0.750 0.499 0.129
Tm4 0.250 0.444 0.387
Tm5 0.250 0.056 0.113
Tm6 0.750 0.944 0.887
Tm7 0.750 0.001 0.371
Tm8 0.250 0.501 0.871
In1 0.750 0.068 0.642
In2 0.250 0.568 0.142
In3 0.250 0.932 0.358
In4 0.750 0.432 0.858
Se1 0.750 0.491 0.374
Se2 0.750 0.009 0.126
Se3 0.250 0.991 0.874
Se4 0.250 0.509 0.626

M_tot: 0.00 μB/atom



Model iii:
DFT (PBE) results for an optimized crystal structure of Tm2InSe.

Cell lengths 3.464, 3.464, 7.957 Å; angles 90.00, 90.00, 90.00 degrees
Positions (direct):
Se1 0.500 0.500 0.000
Tm1 0.000 0.000 0.227
Tm2 0.000 0.000 0.773
In1 0.500 0.500 0.500

M_tot: 0.00 μB/atom



Tell me which of them is the least stable. Sure, it is model iii.